Material: LaPtAu
Method: DFT, PBE
State: relaxed

Geometry as POSCAR:
```
LaPtAu
1.0
3.8664 0.0000 0.0000
0.0000 3.8664 0.0000
0.0000 0.0000 9.2675
La Pt Au
2 2 2
Direct
0.0000 0.0000 0.0000
0.5000 0.5000 0.5000
0.0000 0.0000 0.3470
0.5000 0.5000 0.8470
0.0000 0.0000 0.6746
0.5000 0.5000 0.1746
```

- Theoretical density: 12.728 g/cm³
- Calculated volume: 23.09 Å³/atom
- Space group: No. 107
- ΔE_f: -0.847 eV/atom



Material: LaPtAu4
Method: DFT, PBE
State: relaxed

Geometry as POSCAR:
```
LaPtAu4
1.0
0.0000 3.9366 3.9366
3.9366 0.0000 3.9366
3.9366 3.9366 0.0000
La Pt Au
1 1 4
Direct
0.0000 0.0000 0.0000
0.7500 0.7500 0.7500
0.3756 0.3756 0.3756
0.3756 0.3756 0.8732
0.3756 0.8732 0.3756
0.8732 0.3756 0.3756
```

- Theoretical density: 15.269 g/cm³
- Calculated volume: 20.33 Å³/atom
- Space group: No. 216
- ΔE_f: -0.456 eV/atom



Material: La3Pt2Au
Method: DFT, PBE
State: relaxed

Geometry as POSCAR:
```
La3Pt2Au
1.0
2.4206 -7.1360 0.0000
2.4206 7.1360 0.0000
0.0000 0.0000 9.8076
La Pt Au
6 4 2
Direct
0.1223 0.8777 0.7500
0.3725 0.6275 0.5464
0.3725 0.6275 0.9536
0.6275 0.3725 0.0464
0.6275 0.3725 0.4536
0.8777 0.1223 0.2500
0.0000 0.0000 0.0000
0.0000 0.0000 0.5000
0.4780 0.5220 0.2500
0.5220 0.4780 0.7500
0.2311 0.7689 0.2500
0.7689 0.2311 0.7500
```

- Theoretical density: 9.839 g/cm³
- Calculated volume: 28.24 Å³/atom
- Space group: No. 63
- ΔE_f: -0.816 eV/atom



Material: La6Pt4Au
Method: DFT, PBE
State: relaxed

Geometry as POSCAR:
```
La6Pt4Au
1.0
2.1135 -7.0486 0.0000
2.1135 7.0486 0.0000
0.0000 0.0000 21.7318
La Pt Au
12 8 2
Direct
0.0000 0.0000 0.0000
0.0000 0.0000 0.5000
0.1830 0.8170 0.7500
0.2721 0.7279 0.0838
0.2721 0.7279 0.4162
0.4566 0.5434 0.6604
0.4566 0.5434 0.8396
0.5434 0.4566 0.1604
0.5434 0.4566 0.3396
0.7279 0.2721 0.5838
0.7279 0.2721 0.9162
0.8170 0.1830 0.2500
0.0939 0.9061 0.6285
0.0939 0.9061 0.8715
0.3623 0.6377 0.5421
0.3623 0.6377 0.9579
0.6377 0.3623 0.0421
0.6377 0.3623 0.4579
0.9061 0.0939 0.1285
0.9061 0.0939 0.3715
0.1541 0.8459 0.2500
0.8459 0.1541 0.7500
```

- Theoretical density: 9.288 g/cm³
- Calculated volume: 29.43 Å³/atom
- Space group: No. 63
- ΔE_f: -1.024 eV/atom



Material: LaPtAu
Method: DFT, PBE
State: relaxed

Geometry as POSCAR:
```
LaPtAu
1.0
4.2606 0.0000 0.0000
-2.1270 5.2431 0.0000
-2.1175 -1.0880 6.2281
La Pt Au
2 2 2
Direct
0.2474 0.1959 0.2995
0.7526 0.8041 0.7005
0.0156 0.3654 0.6654
0.9844 0.6346 0.3346
0.4126 0.7487 0.0756
0.5874 0.2513 0.9244
```

- Theoretical density: 12.674 g/cm³
- Calculated volume: 23.19 Å³/atom
- Space group: No. 2
- ΔE_f: -0.953 eV/atom



Material: LaPtAu2
Method: DFT, PBE
State: relaxed

Geometry as POSCAR:
```
LaPtAu2
1.0
5.3673 0.0000 0.0000
0.0000 13.8853 0.0000
-2.5251 0.0000 4.7299
La Pt Au
4 4 8
Direct
0.0000 0.1357 0.2500
0.0000 0.8643 0.7500
0.5000 0.3643 0.7500
0.5000 0.6357 0.2500
0.0000 0.2485 0.7500
0.0000 0.7515 0.2500
0.5000 0.2515 0.2500
0.5000 0.7485 0.7500
0.1768 0.4216 0.0941
0.1768 0.5784 0.5941
0.3232 0.0784 0.9059
0.3232 0.9216 0.4059
0.6768 0.0784 0.5941
0.6768 0.9216 0.0941
0.8232 0.4216 0.4059
0.8232 0.5784 0.9059
```

- Theoretical density: 13.716 g/cm³
- Energy relative to the lowest polymorph listed for this composition: 0.0000 eV per atom
- Calculated volume: 22.03 Å³/atom
- Space group: No. 15
- ΔE_f: -0.797 eV/atom



Material: La3Pt8Au
Method: DFT, PBE
State: relaxed

Geometry as POSCAR:
```
La3Pt8Au
1.0
2.7492 1.5873 9.0231
-2.7492 1.5873 9.0231
0.0000 -3.1746 9.0231
La Pt Au
3 8 1
Direct
0.0000 0.0000 0.0000
0.1303 0.1303 0.1303
0.6117 0.6117 0.6117
0.0595 0.0595 0.5640
0.0603 0.5600 0.5600
0.0595 0.5640 0.0595
0.3104 0.3104 0.3104
0.5600 0.0603 0.5600
0.5600 0.5600 0.0603
0.5640 0.0595 0.0595
0.8108 0.8108 0.8108
0.4923 0.4923 0.4923
```

- Theoretical density: 15.283 g/cm³
- Calculated volume: 19.69 Å³/atom
- Space group: No. 160
- ΔE_f: -0.972 eV/atom



Material: LaPtAu
Method: DFT, PBE
State: relaxed

Geometry as POSCAR:
```
LaPtAu
1.0
4.6980 0.0000 0.0000
-2.3490 4.0686 0.0000
0.0000 0.0000 3.7205
La Pt Au
1 1 1
Direct
0.0000 0.0000 0.0000
0.3333 0.6667 0.4985
0.6667 0.3333 0.5000
```

- Theoretical density: 12.398 g/cm³
- Calculated volume: 23.70 Å³/atom
- Space group: No. 156
- ΔE_f: -0.899 eV/atom



Material: LaPt4Au8
Method: DFT, PBE
State: relaxed

Geometry as POSCAR:
```
LaPt4Au8
1.0
-4.6702 4.6702 2.8385
4.6702 -4.6702 2.8385
4.6702 4.6702 -2.8385
La Pt Au
1 4 8
Direct
0.0000 0.0000 0.0000
0.0000 0.0000 0.5000
0.0000 0.5000 0.0000
0.5000 0.0000 0.0000
0.5000 0.5000 0.5000
0.0000 0.3370 0.3370
0.0000 0.6630 0.6630
0.2818 0.5000 0.7818
0.3370 0.0000 0.3370
0.5000 0.2818 0.7818
0.5000 0.7182 0.2182
0.6630 0.0000 0.6630
0.7182 0.5000 0.2182
```

- Theoretical density: 16.730 g/cm³
- Calculated volume: 19.05 Å³/atom
- Space group: No. 139
- ΔE_f: -0.279 eV/atom



Material: La6Pt5Au
Method: DFT, PBE
State: relaxed

Geometry as POSCAR:
```
La6Pt5Au
1.0
3.7139 -6.4123 0.0000
3.7139 6.4123 0.0000
-2.4663 0.0000 6.9857
La Pt Au
6 5 1
Direct
0.0688 0.4140 0.7428
0.2384 0.2384 0.2529
0.4140 0.0688 0.7428
0.5860 0.9312 0.2572
0.7616 0.7616 0.7471
0.9312 0.5860 0.2572
0.0000 0.0000 0.5000
0.1676 0.8324 0.0000
0.3378 0.6622 0.5000
0.6622 0.3378 0.5000
0.8324 0.1676 0.0000
0.5000 0.5000 0.0000
```

- Theoretical density: 10.011 g/cm³
- Calculated volume: 27.73 Å³/atom
- Space group: No. 12
- ΔE_f: -1.111 eV/atom



Material: LaPt2Au10
Method: DFT, PBE
State: relaxed

Geometry as POSCAR:
```
LaPt2Au10
1.0
0.0000 6.5816 6.7697
2.8425 0.0000 6.7697
2.8425 6.5816 0.0000
La Pt Au
1 2 10
Direct
0.0000 0.0000 0.0000
0.0000 0.0000 0.5000
0.5000 0.5000 0.0000
0.0000 0.5000 0.0000
0.0063 0.6570 0.3430
0.2848 0.5015 0.4985
0.3430 0.9937 0.0063
0.4985 0.7152 0.2848
0.5000 0.0000 0.5000
0.5015 0.2848 0.7152
0.6570 0.0063 0.9937
0.7152 0.4985 0.5015
0.9937 0.3430 0.6570
```

- Theoretical density: 16.381 g/cm³
- Calculated volume: 19.48 Å³/atom
- Space group: No. 69
- ΔE_f: -0.246 eV/atom



Material: La2Pt2Au
Method: DFT, PBE
State: relaxed

Geometry as POSCAR:
```
La2Pt2Au
1.0
7.8963 0.0000 0.0000
0.0000 7.8963 0.0000
0.0000 0.0000 3.8806
La Pt Au
4 4 2
Direct
0.1734 0.3266 0.0000
0.3266 0.8266 0.0000
0.6734 0.1734 0.0000
0.8266 0.6734 0.0000
0.1298 0.6298 0.5000
0.3702 0.1298 0.5000
0.6298 0.8702 0.5000
0.8702 0.3702 0.5000
0.0000 0.0000 0.5000
0.5000 0.5000 0.5000
```

- Theoretical density: 11.872 g/cm³
- Energy relative to the lowest polymorph listed for this composition: 0.0000 eV per atom
- Calculated volume: 24.20 Å³/atom
- Space group: No. 127
- ΔE_f: -1.074 eV/atom



Material: La8PtAu2
Method: DFT, PBE
State: relaxed

Geometry as POSCAR:
```
La8PtAu2
1.0
9.6021 -2.6493 0.0000
9.6021 2.6493 0.0000
-2.3066 0.0000 6.6600
La Pt Au
8 1 2
Direct
0.0207 0.0207 0.2935
0.2029 0.2029 0.8413
0.3317 0.3317 0.4888
0.4100 0.4100 0.0368
0.5900 0.5900 0.9632
0.6683 0.6683 0.5112
0.7971 0.7971 0.1587
0.9793 0.9793 0.7065
0.5000 0.5000 0.5000
0.1700 0.1700 0.2400
0.8300 0.8300 0.7600
```

- Theoretical density: 8.332 g/cm³
- Calculated volume: 30.80 Å³/atom
- Space group: No. 12
- ΔE_f: -0.506 eV/atom



Material: LaPtAu
Method: DFT, PBE
State: relaxed

Geometry as POSCAR:
```
LaPtAu
1.0
6.9606 0.0000 0.0000
0.0000 6.9606 0.0000
0.0000 0.0000 6.9606
La Pt Au
4 4 4
Direct
0.0000 0.0000 0.0000
0.0000 0.5000 0.5000
0.5000 0.0000 0.5000
0.5000 0.5000 0.0000
0.2500 0.2500 0.2500
0.2500 0.7500 0.7500
0.7500 0.2500 0.7500
0.7500 0.7500 0.2500
0.2500 0.2500 0.7500
0.2500 0.7500 0.2500
0.7500 0.2500 0.2500
0.7500 0.7500 0.7500
```

- Theoretical density: 10.458 g/cm³
- Calculated volume: 28.10 Å³/atom
- Space group: No. 216
- ΔE_f: -0.561 eV/atom



Material: La2PtAu3
Method: DFT, PBE
State: relaxed

Geometry as POSCAR:
```
La2PtAu3
1.0
3.7498 0.0000 0.0000
0.0000 4.9333 0.0000
0.0000 0.0000 7.9185
La Pt Au
2 1 3
Direct
0.0000 0.0000 0.0000
0.0000 0.5000 0.4687
0.5000 0.0000 0.3004
0.5000 0.0000 0.6488
0.5000 0.5000 0.1501
0.5000 0.5000 0.8032
```

- Theoretical density: 12.059 g/cm³
- Calculated volume: 24.41 Å³/atom
- Space group: No. 25
- ΔE_f: -0.865 eV/atom



Material: LaPt2Au2
Method: DFT, PBE
State: relaxed

Geometry as POSCAR:
```
LaPt2Au2
1.0
-2.0256 2.0256 12.9439
2.0256 -2.0256 12.9439
2.0256 2.0256 -12.9439
La Pt Au
2 4 4
Direct
0.1222 0.1222 0.0000
0.8778 0.8778 0.0000
0.2500 0.7500 0.5000
0.4241 0.4241 0.0000
0.5759 0.5759 0.0000
0.7500 0.2500 0.5000
0.0000 0.5000 0.5000
0.3226 0.3226 0.0000
0.5000 0.0000 0.5000
0.6774 0.6774 0.0000
```

- Theoretical density: 14.430 g/cm³
- Energy relative to the lowest polymorph listed for this composition: 0.0523 eV per atom
- Calculated volume: 21.24 Å³/atom
- Space group: No. 139
- ΔE_f: -0.589 eV/atom



Material: LaPtAu2
Method: DFT, PBE
State: relaxed

Geometry as POSCAR:
```
LaPtAu2
1.0
7.0256 0.0000 0.0000
0.0000 7.0256 0.0000
0.0000 0.0000 7.0256
La Pt Au
4 4 8
Direct
0.0000 0.0000 0.0000
0.0000 0.5000 0.5000
0.5000 0.0000 0.5000
0.5000 0.5000 0.0000
0.0000 0.0000 0.5000
0.0000 0.5000 0.0000
0.5000 0.0000 0.0000
0.5000 0.5000 0.5000
0.2500 0.2500 0.2500
0.2500 0.2500 0.7500
0.2500 0.7500 0.2500
0.2500 0.7500 0.7500
0.7500 0.2500 0.2500
0.7500 0.2500 0.7500
0.7500 0.7500 0.2500
0.7500 0.7500 0.7500
```

- Theoretical density: 13.943 g/cm³
- Energy relative to the lowest polymorph listed for this composition: 0.2045 eV per atom
- Calculated volume: 21.67 Å³/atom
- Space group: No. 225
- ΔE_f: -0.592 eV/atom



Material: LaPt2Au
Method: DFT, PBE
State: relaxed

Geometry as POSCAR:
```
LaPt2Au
1.0
6.9147 0.0000 0.0000
0.0000 6.9147 0.0000
0.0000 0.0000 6.9147
La Pt Au
4 8 4
Direct
0.0000 0.0000 0.0000
0.0000 0.5000 0.5000
0.5000 0.0000 0.5000
0.5000 0.5000 0.0000
0.0000 0.0000 0.5000
0.0000 0.5000 0.0000
0.2500 0.2500 0.7500
0.2500 0.7500 0.2500
0.5000 0.0000 0.0000
0.5000 0.5000 0.5000
0.7500 0.2500 0.2500
0.7500 0.7500 0.7500
0.2500 0.2500 0.2500
0.2500 0.7500 0.7500
0.7500 0.2500 0.7500
0.7500 0.7500 0.2500
```

- Theoretical density: 14.586 g/cm³
- Calculated volume: 20.66 Å³/atom
- Space group: No. 216
- ΔE_f: -0.567 eV/atom



Material: La7Pt5Au
Method: DFT, PBE
State: relaxed

Geometry as POSCAR:
```
La7Pt5Au
1.0
7.0712 -2.1160 0.0000
7.0712 2.1160 0.0000
-0.0173 0.0000 25.3088
La Pt Au
14 10 2
Direct
0.0469 0.0469 0.2500
0.1355 0.1355 0.5365
0.1356 0.1356 0.9636
0.3208 0.3208 0.1737
0.3205 0.3205 0.3261
0.4099 0.4099 0.6062
0.4098 0.4098 0.8939
0.5902 0.5902 0.1061
0.5901 0.5901 0.3938
0.6795 0.6795 0.6739
0.6792 0.6792 0.8263
0.8644 0.8644 0.0364
0.8645 0.8645 0.4635
0.9531 0.9531 0.7500
0.0423 0.0423 0.6461
0.0418 0.0418 0.8540
0.2263 0.2263 0.4275
0.2267 0.2267 0.0725
0.5000 0.5000 0.0000
0.5000 0.5000 0.5000
0.7733 0.7733 0.9275
0.7737 0.7737 0.5725
0.9582 0.9582 0.1460
0.9577 0.9577 0.3539
0.2896 0.2896 0.7503
0.7104 0.7104 0.2497
```

- Theoretical density: 9.405 g/cm³
- Calculated volume: 29.13 Å³/atom
- Space group: No. 12
- ΔE_f: -1.044 eV/atom



Material: LaPt2Au
Method: DFT, PBE
State: relaxed

Geometry as POSCAR:
```
LaPt2Au
1.0
4.2094 0.0000 0.0000
0.0000 3.9590 0.0000
0.0000 0.0000 10.3483
La Pt Au
2 4 2
Direct
0.0000 0.0000 0.0000
0.0000 0.5000 0.5000
0.0000 0.0000 0.7304
0.0000 0.5000 0.2304
0.5000 0.0000 0.5662
0.5000 0.5000 0.0662
0.5000 0.0000 0.2933
0.5000 0.5000 0.7933
```

- Theoretical density: 13.982 g/cm³
- Calculated volume: 21.56 Å³/atom
- Space group: No. 38
- ΔE_f: -0.700 eV/atom